No. 1
## NiAuF6 (GGA+U)

Data for a geometry-optimized NiAuF6 structure.

Computed properties:
As for the crystal system: trigonal. As for the space-group type: No. 163.

Cell lengths 5.0172, 5.0172, 9.3948 Å; angles 90.00, 90.00, 120.00 degrees
Each line ends with the local moment (μB).
Element x y z (fractional)
F 0.6699 0.0072 0.8735  0.10
F 0.3301 0.3373 0.3735  0.10
F 0.3301 0.9928 0.1265  0.10
Ni 0.6667 0.3333 0.7500  1.82
F 0.3373 0.3301 0.8735  0.10
F 0.3373 0.0072 0.6265  0.10
Ni 0.3333 0.6667 0.2500  1.82
F 0.9928 0.6627 0.8735  0.10
F 0.6627 0.9928 0.3735  0.10
F 0.6699 0.6627 0.6265  0.10
F 0.6627 0.6699 0.1265  0.10
F 0.0072 0.6699 0.3735  0.10
Au 0.0000 0.0000 0.5000  0.55
F 0.0072 0.3373 0.1265  0.10
Au 0.0000 0.0000 0.0000  0.55
F 0.9928 0.3301 0.6265  0.10

No. 2
## NiAu2F6 (GGA+U)

Data for a geometry-optimized NiAu2F6 structure.

Computed properties:
As for the crystal system: monoclinic. As for the space-group type: No. 12.

Cell lengths 3.2437, 5.6117, 7.7975 Å; angles 82.89, 78.00, 73.20 degrees
Each line ends with the local moment (μB).
Element x y z (fractional)
F 0.6434 0.3068 0.4064  0.07
F 0.0106 0.2656 0.7133  0.08
F 0.6909 0.6732 0.9451  0.21
F 0.3566 0.6932 0.5936  0.07
F 0.3091 0.3268 0.0549  0.21
Au 0.8755 0.0899 0.1590  0.45
F 0.9894 0.7344 0.2867  0.08
Ni 0.0000 0.5000 0.5000  1.83
Au 0.1245 0.9101 0.8410  0.45

No. 3
## NiAuF (GGA+U)

Data for a geometry-optimized NiAuF structure.

Computed properties:
Its polymorph energy (0 for the lowest one) is 131 meV per atom. As for the crystal system: triclinic. As for the space-group type: No. 1.

Cell lengths 2.8149, 5.9599, 5.9353 Å; angles 76.06, 76.40, 76.67 degrees
Each line ends with the local moment (μB).
Element x y z (fractional)
Ni 0.4492 0.8973 0.1777  1.71
F 0.1072 0.7167 0.0378  0.05
F 0.5024 0.1054 0.8648  0.05
Au 0.7020 0.2018 0.3734  0.03
Ni 0.3072 0.4068 0.9508  1.45
Au 0.9188 0.5918 0.5462  0.01

No. 4
## NiAuF3 (GGA+U)

Data for a geometry-optimized NiAuF3 structure.

Computed properties:
Its polymorph energy (0 for the lowest one) is 0 meV per atom. As for the crystal system: cubic. As for the space-group type: No. 221.

Cell lengths 4.0242, 4.0242, 4.0242 Å; angles 90.00, 90.00, 90.00 degrees
Each line ends with the local moment (μB).
Element x y z (fractional)
F 0.0000 0.5000 0.0000  0.05
F 0.5000 0.0000 0.0000  0.05
Au 0.5000 0.5000 0.5000  0.00
Ni 0.0000 0.0000 0.0000  1.85
F 0.0000 0.0000 0.5000  0.03

No. 5
## Ni3AuF (GGA+U)

Data for a geometry-optimized Ni3AuF structure.

Computed properties:
Its polymorph energy (0 for the lowest one) is 1005 meV per atom. As for the crystal system: cubic. As for the space-group type: No. 221.

Cell lengths 4.8350, 4.8350, 4.8350 Å; angles 90.00, 90.00, 90.00 degrees
Each line ends with the local moment (μB).
Element x y z (fractional)
Ni 0.0000 0.0000 0.5000  1.79
F 0.5000 0.5000 0.5000  -0.07
Ni 0.0000 0.5000 0.0000  1.67
Au 0.0000 0.0000 0.0000  0.03
Ni 0.5000 0.0000 0.0000  1.41

No. 6
## NiAuF3 (GGA+U)

Data for a geometry-optimized NiAuF3 structure.

Computed properties:
Its polymorph energy (0 for the lowest one) is 965 meV per atom. As for the crystal system: cubic. As for the space-group type: No. 221.

Cell lengths 4.4105, 4.4105, 4.4105 Å; angles 90.00, 90.00, 90.00 degrees
Each line ends with the local moment (μB).
Element x y z (fractional)
F 0.5000 0.0000 0.0000  0.00
F 0.0000 0.5000 0.0000  0.01
Au 0.0000 0.0000 0.0000  -0.01
Ni 0.5000 0.5000 0.5000  1.53
F 0.0000 0.0000 0.5000  0.01

Total moment, record by record: 3.0; 3.5; 1.6; 2.0; 4.6; 1.6 μB/f.u.
E, record by record: -3.446; -3.327; -3.209; -3.597; -1.512; -2.632 eV per atom
Theoretical density, record by record: 6.0; 7.1; 9.9; 8.0; 5.8; 6.1 g cm⁻³